PBE with a Hubbard U NaTl2V3F12, optimized geometry; N(E_F) = 0.00 states/eV per cell; energy = -98.9 eV for the cell shown; crystal system = trigonal; total magnetic moment = 6.000 μB/f.u.
1.0
7.409 -0.102 -0.072
3.570 6.493 -0.072
3.570 2.078 6.151
F V Na Tl
12 3 1 2
Direct
0.912 0.293 0.293 F
0.707 0.088 0.707 F
0.609 0.108 0.108 F
0.707 0.707 0.088 F
0.088 0.707 0.707 F
0.892 0.391 0.892 F
0.293 0.293 0.912 F
0.108 0.108 0.609 F
0.892 0.892 0.391 F
0.293 0.912 0.293 F
0.108 0.609 0.108 F
0.391 0.892 0.892 F
0.000 0.500 0.000 V
0.500 0.000 0.000 V
0.000 0.000 0.500 V
0.000 0.000 0.000 Na
0.636 0.636 0.636 Tl
0.364 0.364 0.364 Tl